A relaxed structure of Be2CrGa2. Source: the Alexandria database, functional PBE.

POSCAR file:
```
Be2CrGa2
1.0
6.6816 0.0000 0.0000
0.0000 6.6816 0.0000
0.0000 0.0000 2.8228
Be Cr Ga
4 2 4
Cartesian
1.0931 2.2477 0.0000
2.2477 5.5885 0.0000
4.4339 1.0931 0.0000
5.5885 4.4339 0.0000
0.0000 0.0000 1.4114
3.3408 3.3408 1.4114
0.9256 4.2664 1.4114
2.4152 0.9256 1.4114
4.2664 5.7560 1.4114
5.7560 2.4152 1.4114
```

Calculated values
For the density of states at the Fermi level, the calculation gives 3.11 states/eV per cell. The calculation puts the volume at 126 Å³ per cell. The value obtained for the formation energy is 347 meV/atom. Its electronic total energy is -4.279 eV/atom.